Record 1
Entry from Alexandria via LeMat-Bulk: a relaxed structure of LaAsIr3 (GGA-PBE).

Structure (POSCAR):
```
LaAsIr3
1.0
4.944 0.000 0.000
0.000 4.944 0.000
0.000 0.000 4.944
La As Ir
1 1 3
direct
0.000 0.000 0.000
0.500 0.500 0.500
0.000 0.000 0.500
0.000 0.500 0.000
0.500 0.000 0.000
```

Summary:
excess energy over the best structure of this formula in the dataset: 9.68 eV per formula unit
density of states at the Fermi level: 5.4 states/eV per cell
E_tot: -5.201 eV/atom
ΔH_f (0 K): 2.03 eV per atom
magnetization: 0.00 μB/cell

***

Record 2
Entry from Alexandria via LeMat-Bulk: a relaxed structure of NpSeN (GGA-PBE).

Structure (POSCAR):
```
NpSeN
1.0
0.000 4.988 5.909
4.184 0.000 5.909
4.184 4.988 0.000
Np Se N
4 4 4
direct
0.084 0.666 0.666
0.334 0.916 0.916
0.666 0.084 0.084
0.916 0.334 0.334
0.239 0.239 0.511
0.489 0.489 0.761
0.511 0.511 0.239
0.761 0.761 0.489
0.000 0.000 0.000
0.000 0.000 0.500
0.000 0.500 0.000
0.500 0.000 0.000
```

Summary:
raw formation energy: -0.638 eV per atom
excess energy over the best structure of this formula in the dataset: 1.58 eV per formula unit
density of states at the Fermi level: 30.2 states/eV per cell
E_tot: -8.888 eV/atom
magnetization: 8.03 μB/cell

***

Record 3
Entry from Alexandria via LeMat-Bulk: a relaxed structure of Cs2TlCd4In3 (GGA-PBE).

Structure (POSCAR):
```
Cs2TlCd4In3
1.0
5.149 0.000 0.000
0.000 5.149 0.000
0.000 0.000 12.778
Cs Tl Cd In
2 1 4 3
direct
0.000 0.500 0.247
0.500 0.000 0.753
0.000 0.000 0.500
0.000 0.000 0.000
0.000 0.500 0.637
0.500 0.000 0.363
0.500 0.500 0.000
0.000 0.500 0.877
0.500 0.000 0.123
0.500 0.500 0.500
```

Summary:
density of states at the Fermi level: 7.7 states/eV per cell
E_tot: -1.644 eV/atom
ΔH_f (0 K): -0.05 eV per atom
magnetization: 0.00 μB/cell

***

Record 4
Entry from Alexandria via LeMat-Bulk: a relaxed structure of BiPdI2 (GGA-PBE).

Structure (POSCAR):
```
BiPdI2
1.0
7.661 0.000 0.000
0.000 7.661 0.000
0.000 0.000 7.661
Bi Pd I
4 4 8
direct
0.000 0.000 0.000
0.000 0.500 0.500
0.500 0.000 0.500
0.500 0.500 0.000
0.000 0.000 0.500
0.000 0.500 0.000
0.500 0.000 0.000
0.500 0.500 0.500
0.250 0.250 0.250
0.250 0.250 0.750
0.250 0.750 0.250
0.250 0.750 0.750
0.750 0.250 0.250
0.750 0.250 0.750
0.750 0.750 0.250
0.750 0.750 0.750
```

Summary:
raw formation energy: 0.278 eV per atom
excess energy over the best structure of this formula in the dataset: 0.58 eV per formula unit
density of states at the Fermi level: 7.7 states/eV per cell
E_tot: -2.765 eV/atom
magnetization: 0.00 μB/cell

***

Record 5
Entry from Alexandria via LeMat-Bulk: a relaxed structure of Cs2HoIO6 (GGA-PBE).

Structure (POSCAR):
```
Cs2HoIO6
1.0
6.808 0.000 0.000
-3.404 5.896 0.000
0.000 0.000 5.828
Cs Ho I O
2 1 1 6
direct
0.333 0.667 0.139
0.667 0.333 0.861
0.000 0.000 0.500
0.000 0.000 0.000
0.129 0.258 0.798
0.129 0.871 0.798
0.258 0.129 0.202
0.742 0.871 0.798
0.871 0.129 0.202
0.871 0.742 0.202
```

Summary:
raw formation energy: -1.555 eV per atom
density of states at the Fermi level: 0.0 states/eV per cell
E_tot: -5.314 eV/atom
magnetization: 0.00 μB/cell

***

Record 6
Entry from Alexandria via LeMat-Bulk: a relaxed structure of Ti6NiRh2 (GGA-PBE).

Structure (POSCAR):
```
Ti6NiRh2
1.0
6.686 -3.000 0.000
6.686 3.000 0.000
-1.314 0.000 3.998
Ti Ni Rh
6 1 2
direct
0.083 0.589 0.336
0.244 0.756 0.000
0.411 0.917 0.664
0.589 0.083 0.336
0.756 0.244 0.000
0.917 0.411 0.664
0.000 0.000 0.500
0.334 0.334 0.834
0.666 0.666 0.166
```

Summary:
density of states at the Fermi level: 12.3 states/eV per cell
E_tot: -7.689 eV/atom
ΔH_f (0 K): -0.15 eV per atom
magnetization: 0.00 μB/cell

***

Record 7
Entry from Alexandria via LeMat-Bulk: a relaxed structure of HfBeAl2F (GGA-PBE).

Structure (POSCAR):
```
HfBeAl2F
1.0
4.216 0.000 0.000
0.000 4.216 0.000
0.000 0.000 4.435
Hf Be Al F
1 1 2 1
direct
0.000 0.000 0.000
0.500 0.500 0.000
0.000 0.500 0.500
0.500 0.000 0.500
0.000 0.000 0.500
```

Summary:
raw formation energy: -0.104 eV per atom
density of states at the Fermi level: 2.3 states/eV per cell
E_tot: -4.712 eV/atom
magnetization: 0.00 μB/cell

***

Record 8
Entry from Alexandria via LeMat-Bulk: a relaxed structure of NaSr2Mg (GGA-PBE).

Structure (POSCAR):
```
NaSr2Mg
1.0
6.186 0.000 0.000
0.000 6.186 0.000
0.000 0.000 4.221
Na Sr Mg
1 2 1
direct
0.000 0.000 0.000
0.000 0.500 0.500
0.500 0.000 0.500
0.500 0.500 0.000
```

Summary:
density of states at the Fermi level: 4.1 states/eV per cell
E_tot: -1.568 eV/atom
ΔH_f (0 K): 0.00 eV per atom
magnetization: 0.00 μB/cell

***

Record 9
Entry from Alexandria via LeMat-Bulk: a relaxed structure of HfTh2Ag6 (GGA-PBE).

Structure (POSCAR):
```
HfTh2Ag6
1.0
8.411 0.000 0.000
-4.205 7.284 0.000
0.000 0.000 3.214
Hf Th Ag
1 2 6
direct
0.000 0.000 0.000
0.333 0.667 0.000
0.667 0.333 0.000
0.000 0.326 0.500
0.000 0.674 0.500
0.326 0.000 0.500
0.326 0.326 0.500
0.674 0.000 0.500
0.674 0.674 0.500
```

Summary:
density of states at the Fermi level: 7.2 states/eV per cell
E_tot: -4.697 eV/atom
ΔH_f (0 K): -0.04 eV per atom
magnetization: 0.23 μB/cell

***

Record 10
Entry from Alexandria via LeMat-Bulk: a relaxed structure of SiBC2 (GGA-PBE).

Structure (POSCAR):
```
SiBC2
1.0
2.988 0.000 0.000
-1.494 2.587 0.000
0.000 0.000 14.982
Si B C
3 3 6
direct
0.000 0.000 0.000
0.333 0.667 0.667
0.667 0.333 0.333
0.000 0.000 0.500
0.333 0.667 0.167
0.667 0.333 0.833
0.000 0.000 0.404
0.000 0.000 0.596
0.333 0.667 0.071
0.333 0.667 0.262
0.667 0.333 0.738
0.667 0.333 0.929
```

Summary:
raw formation energy: 0.699 eV per atom
excess energy over the best structure of this formula in the dataset: 1.83 eV per formula unit
density of states at the Fermi level: 3.3 states/eV per cell
E_tot: -6.938 eV/atom
magnetization: 0.00 μB/cell

***

Record 11
Entry from Alexandria via LeMat-Bulk: a relaxed structure of TlCd5Pd4 (GGA-PBE).

Structure (POSCAR):
```
TlCd5Pd4
1.0
3.216 0.000 0.000
0.000 3.216 0.000
0.000 0.000 18.720
Tl Cd Pd
1 5 4
direct
0.000 0.000 0.000
0.500 0.500 0.137
0.500 0.500 0.320
0.500 0.500 0.500
0.500 0.500 0.680
0.500 0.500 0.863
0.000 0.000 0.228
0.000 0.000 0.410
0.000 0.000 0.590
0.000 0.000 0.772
```

Summary:
density of states at the Fermi level: 5.0 states/eV per cell
E_tot: -3.081 eV/atom
ΔH_f (0 K): -0.31 eV per atom
magnetization: 0.00 μB/cell

***

Among the records above, which one has the highest magnetization? NpSeN